# TbNdZn4

Crystalline TbNdZn4 at its relaxed geometry (PBE-GGA, Alexandria).

## Properties
ΔE to the lowest computed polymorph in meV/atom: 0
Energy of formation in kJ per mole of atoms: -34.3
N(E_F) in states/eV/f.u.: 6.2
VASP energy in eV per atom: -2.771

abc: 4.526 5.780 5.780
angles: 77.06 66.95 66.95
Fractional positions:
1 Tb 0.000 0.500 0.500
2 Nd 0.000 0.000 0.000
3 Zn 0.666 0.580 0.088
4 Zn 0.334 0.912 0.420
5 Zn 0.334 0.420 0.912
6 Zn 0.666 0.088 0.580

# KBaNa2Cd

Crystalline KBaNa2Cd at its relaxed geometry (PBE-GGA, Alexandria).

## Properties
ΔE to the lowest computed polymorph in meV/atom: 81
Energy of formation in kJ per mole of atoms: 11.5
N(E_F) in states/eV/f.u.: 4.5
VASP energy in eV per atom: -1.195

abc: 6.059 6.059 6.397
angles: 90.00 90.00 90.00
Fractional positions:
1 Na 0.000 0.500 0.000
2 Na 0.500 0.000 0.000
3 K 0.000 0.000 0.500
4 Ba 0.500 0.500 0.500
5 Cd 0.000 0.000 0.000

# SrErZnHg

Crystalline SrErZnHg at its relaxed geometry (PBE-GGA, Alexandria).

## Properties
Energy of formation in kJ per mole of atoms: -29.5
N(E_F) in states/eV/f.u.: 3.5
VASP energy in eV per atom: -2.260

abc: 5.336 5.336 5.336
angles: 60.00 60.00 60.00
Fractional positions:
1 Sr 0.750 0.750 0.750
2 Zn 0.000 0.000 0.000
3 Hg 0.500 0.500 0.500
4 Er 0.250 0.250 0.250

# BaPrIr

Crystalline BaPrIr at its relaxed geometry (PBE-GGA, Alexandria).

## Properties
ΔE to the lowest computed polymorph in meV/atom: 0
Energy of formation in kJ per mole of atoms: -27.4
N(E_F) in states/eV/f.u.: 1.3
VASP energy in eV per atom: -5.471

abc: 7.013 4.353 4.353
angles: 120.00 90.00 90.00
Fractional positions:
1 Pr 0.215 0.333 0.667
2 Ir 0.026 0.000 0.000
3 Ba 0.759 0.667 0.333

# Na2In2Bi

Crystalline Na2In2Bi at its relaxed geometry (PBE-GGA, Alexandria).

## Properties
ΔE to the lowest computed polymorph in meV/atom: 188
Energy of formation in kJ per mole of atoms: -0.8
N(E_F) in states/eV/f.u.: 1.7
VASP energy in eV per atom: -2.407

abc: 4.446 4.446 8.127
angles: 74.13 74.13 90.00
Fractional positions:
1 Na 0.750 0.250 0.500
2 Na 0.250 0.750 0.500
3 Bi 0.000 0.000 0.000
4 In 0.405 0.405 0.190
5 In 0.595 0.595 0.810

# Mg3AlPt2

Crystalline Mg3AlPt2 at its relaxed geometry (PBE-GGA, Alexandria).

## Properties
ΔE to the lowest computed polymorph in meV/atom: 47
Energy of formation in kJ per mole of atoms: -66.1
N(E_F) in states/eV/f.u.: 1.6
VASP energy in eV per atom: -4.120

abc: 3.699 4.218 7.552
angles: 106.35 104.14 90.02
Fractional positions:
1 Mg 0.500 0.500 0.000
2 Mg 0.817 0.318 0.635
3 Mg 0.183 0.682 0.365
4 Al 0.000 0.000 0.000
5 Pt 0.378 0.877 0.755
6 Pt 0.622 0.123 0.245

# Dy2Tm3Tl3

Crystalline Dy2Tm3Tl3 at its relaxed geometry (PBE-GGA, Alexandria).

## Properties
ΔE to the lowest computed polymorph in meV/atom: 0
Energy of formation in kJ per mole of atoms: -23.1
N(E_F) in states/eV/f.u.: 6.4
VASP energy in eV per atom: -3.954

abc: 3.735 5.331 11.658
angles: 103.22 99.22 90.00
Fractional positions:
1 Dy 0.265 0.765 0.529
2 Dy 0.735 0.235 0.471
3 Tm 0.374 0.374 0.748
4 Tm 0.626 0.626 0.252
5 Tm 0.500 0.000 0.000
6 Tl 0.882 0.882 0.763
7 Tl 0.000 0.500 0.000
8 Tl 0.118 0.118 0.237

# CdCoCl4

Crystalline CdCoCl4 at its relaxed geometry (PBE-GGA, Alexandria).

## Properties
ΔE to the lowest computed polymorph in meV/atom: 1568
Formation energy without anion corrections in eV/atom: 0.778
N(E_F) in states/eV/f.u.: 4.9
VASP energy in eV per atom: -1.789

abc: 5.890 5.890 5.890
angles: 60.00 60.00 60.00
Site moments in Bohr magnetons follow the coordinates.
Fractional positions:
1 Cd 0.000 0.000 0.000  0.01
2 Co 0.750 0.750 0.750  2.13
3 Cl 0.875 0.375 0.375  0.42
4 Cl 0.375 0.375 0.875  0.42
5 Cl 0.375 0.875 0.375  0.42
6 Cl 0.375 0.375 0.375  0.42

# NbTlRu3

Crystalline NbTlRu3 at its relaxed geometry (PBE-GGA, Alexandria).

## Properties
ΔE to the lowest computed polymorph in meV/atom: 0
Energy of formation in kJ per mole of atoms: 135.6
N(E_F) in states/eV/f.u.: 5.9
VASP energy in eV per atom: -6.647

abc: 4.767 4.767 4.767
angles: 90.00 90.00 90.00
Site moments in Bohr magnetons follow the coordinates.
Fractional positions:
1 Ru 0.000 0.500 0.000  0.82
2 Ru 0.000 0.000 0.500  0.97
3 Ru 0.500 0.000 0.000  0.58
4 Tl 0.500 0.500 0.500  0.01
5 Nb 0.000 0.000 0.000  -0.24

# TaRe2Mo

Crystalline TaRe2Mo at its relaxed geometry (PBE-GGA, Alexandria).

## Properties
ΔE to the lowest computed polymorph in meV/atom: 48
Energy of formation in kJ per mole of atoms: -10.1
N(E_F) in states/eV/f.u.: 3.6
VASP energy in eV per atom: -12.000

abc: 5.268 5.268 4.463
angles: 64.88 64.88 35.07
Fractional positions:
1 Mo 0.249 0.249 0.251
2 Re 0.999 0.999 0.001
3 Re 0.752 0.752 0.748
4 Ta 0.500 0.500 0.499

# Nd3BiPBr

Crystalline Nd3BiPBr at its relaxed geometry (PBE-GGA, Alexandria).

## Properties
Formation energy without anion corrections in eV/atom: -1.222
N(E_F) in states/eV/f.u.: 3.3
VASP energy in eV per atom: -5.433

abc: 4.258 7.440 11.605
angles: 102.13 90.00 90.00
Fractional positions:
1 Nd 0.250 0.716 0.503
2 Nd 0.750 0.041 0.139
3 Nd 0.750 0.549 0.145
4 Nd 0.750 0.284 0.497
5 Nd 0.250 0.451 0.855
6 Nd 0.250 0.959 0.861
7 Bi 0.750 0.657 0.702
8 Bi 0.250 0.343 0.298
9 P 0.250 0.766 0.056
10 P 0.750 0.234 0.944
11 Br 0.250 0.124 0.636
12 Br 0.750 0.876 0.364

# SmDy3Er3Se8

Crystalline SmDy3Er3Se8 at its relaxed geometry (PBE-GGA, Alexandria).

## Properties
Formation energy without anion corrections in eV/atom: -1.814
N(E_F) in states/eV/f.u.: 5.8
VASP energy in eV per atom: -5.820

abc: 8.099 8.099 8.097
angles: 120.01 90.00 120.00
Fractional positions:
1 Sm 0.000 0.000 0.500
2 Dy 0.000 0.000 0.000
3 Dy 0.000 0.500 0.000
4 Dy 0.500 0.500 0.000
5 Er 0.500 0.000 0.500
6 Er 0.500 0.500 0.500
7 Er 0.000 0.500 0.500
8 Se 0.251 0.502 0.253
9 Se 0.749 0.498 0.747
10 Se 0.741 0.483 0.244
11 Se 0.259 0.517 0.756
12 Se 0.742 0.002 0.244
13 Se 0.258 0.998 0.756
14 Se 0.261 0.002 0.244
15 Se 0.739 0.998 0.756

# CdP

Crystalline CdP at its relaxed geometry (PBE-GGA, Alexandria).

## Properties
ΔE to the lowest computed polymorph in meV/atom: 561
Energy of formation in kJ per mole of atoms: 50.1
N(E_F) in states/eV/f.u.: 0.4
VASP energy in eV per atom: -2.643

abc: 2.886 2.886 5.359
angles: 90.00 90.00 120.00
Fractional positions:
1 Cd 0.000 0.000 0.000
2 P 0.667 0.333 0.500

# La2Al3GaPd4

Crystalline La2Al3GaPd4 at its relaxed geometry (PBE-GGA, Alexandria).

## Properties
Energy of formation in kJ per mole of atoms: -82.7
N(E_F) in states/eV/f.u.: 8.9
VASP energy in eV per atom: -5.346

abc: 4.433 4.433 10.144
angles: 90.00 90.00 90.00
Fractional positions:
1 La 0.500 0.000 0.253
2 La 0.000 0.500 0.747
3 Al 0.000 0.000 0.500
4 Al 0.500 0.000 0.878
5 Al 0.000 0.500 0.122
6 Ga 0.500 0.500 0.500
7 Pd 0.500 0.500 0.000
8 Pd 0.000 0.000 0.000
9 Pd 0.500 0.000 0.631
10 Pd 0.000 0.500 0.369

# PmPr2Co

Crystalline PmPr2Co at its relaxed geometry (PBE-GGA, Alexandria).

## Properties
ΔE to the lowest computed polymorph in meV/atom: 131
Energy of formation in kJ per mole of atoms: 7.3
N(E_F) in states/eV/f.u.: 5.3
VASP energy in eV per atom: -5.278

abc: 3.891 3.891 9.624
angles: 78.34 78.34 60.00
Fractional positions:
1 Pm 0.501 0.501 0.498
2 Pr 0.057 0.057 0.829
3 Pr 0.276 0.276 0.172
4 Co 0.666 0.666 0.001

# LiTb2TmS4

Crystalline LiTb2TmS4 at its relaxed geometry (PBE-GGA, Alexandria).

## Properties
Formation energy without anion corrections in eV/atom: -1.933
N(E_F) in states/eV/f.u.: 2.5
VASP energy in eV per atom: -5.952

abc: 3.870 6.695 6.709
angles: 109.38 90.00 90.00
Fractional positions:
1 Li 0.500 0.500 0.000
2 Tb 0.500 0.000 0.500
3 Tb 0.000 0.500 0.500
4 Tm 0.000 0.000 0.000
5 S 0.500 0.251 0.240
6 S 0.500 0.749 0.760
7 S 0.000 0.255 0.760
8 S 0.000 0.745 0.240

# Tb6Pr2Dy3Er

Crystalline Tb6Pr2Dy3Er at its relaxed geometry (PBE-GGA, Alexandria).

## Properties
Energy of formation in kJ per mole of atoms: 1.5
N(E_F) in states/eV/f.u.: 15.1
VASP energy in eV per atom: -4.627

abc: 6.192 6.192 11.860
angles: 94.97 94.97 119.97
Fractional positions:
1 Tb 0.916 0.583 0.747
2 Tb 0.752 0.752 0.253
3 Tb 0.084 0.417 0.253
4 Tb 0.583 0.916 0.747
5 Tb 0.248 0.248 0.747
6 Tb 0.417 0.084 0.253
7 Pr 0.334 0.666 0.000
8 Pr 0.666 0.334 0.000
9 Dy 0.166 0.834 0.500
10 Dy 0.834 0.166 0.500
11 Dy 0.500 0.500 0.500
12 Er 0.000 0.000 0.000

# Mg2InSe

Crystalline Mg2InSe at its relaxed geometry (PBE-GGA, Alexandria).

## Properties
ΔE to the lowest computed polymorph in meV/atom: 178
Formation energy without anion corrections in eV/atom: -0.381
N(E_F) in states/eV/f.u.: 1.6
VASP energy in eV per atom: -2.734

abc: 3.406 3.406 7.775
angles: 90.00 90.00 90.02
Fractional positions:
1 In 0.500 0.500 0.750
2 Mg 0.000 0.000 0.044
3 Mg 0.000 0.000 0.456
4 Se 0.500 0.500 0.250

# RbPdIN2

Crystalline RbPdIN2 at its relaxed geometry (PBE-GGA, Alexandria).

## Properties
ΔE to the lowest computed polymorph in meV/atom: 0
Formation energy without anion corrections in eV/atom: 1.227
N(E_F) in states/eV/f.u.: 4.4
VASP energy in eV per atom: -3.645

abc: 4.429 4.429 5.720
angles: 90.00 90.00 90.00
Site moments in Bohr magnetons follow the coordinates.
Fractional positions:
1 I 0.000 0.000 0.500  0.07
2 Rb 0.500 0.500 0.500  0.00
3 Pd 0.000 0.000 0.000  0.07
4 N 0.000 0.500 0.000  0.29
5 N 0.500 0.000 0.000  0.29

# ZrNb2Mo

Crystalline ZrNb2Mo at its relaxed geometry (PBE-GGA, Alexandria).

## Properties
ΔE to the lowest computed polymorph in meV/atom: 96
Energy of formation in kJ per mole of atoms: 5.6
N(E_F) in states/eV/f.u.: 6.1
VASP energy in eV per atom: -9.822

abc: 3.326 4.706 4.706
angles: 90.00 90.00 90.00
Fractional positions:
1 Mo 0.500 0.500 0.500
2 Nb 0.000 0.000 0.500
3 Nb 0.000 0.500 0.000
4 Zr 0.500 0.000 0.000

# CsNa3

Crystalline CsNa3 at its relaxed geometry (PBE-GGA, Alexandria).

## Properties
Energy of formation in kJ per mole of atoms: 6.8
N(E_F) in states/eV/f.u.: 1.7
VASP energy in eV per atom: -1.132

abc: 4.058 5.948 8.958
angles: 90.00 90.00 90.00
Fractional positions:
1 Cs 0.000 0.500 0.302
2 Na 0.000 0.000 0.947
3 Na 0.500 0.000 0.598
4 Na 0.500 0.500 0.820

# ZnAgW2

Crystalline ZnAgW2 at its relaxed geometry (PBE-GGA, Alexandria).

## Properties
Energy of formation in kJ per mole of atoms: 45.6
N(E_F) in states/eV/f.u.: 1.5
VASP energy in eV per atom: -7.035

abc: 4.440 2.701 5.675
angles: 69.35 90.00 90.00
Fractional positions:
1 Ag 0.500 0.750 0.750
2 W 0.000 0.021 0.011
3 W 0.000 0.479 0.489
4 Zn 0.500 0.250 0.250

# LiPrMnTe3

Crystalline LiPrMnTe3 at its relaxed geometry (PBE-GGA, Alexandria).

## Properties
Formation energy without anion corrections in eV/atom: -0.857
N(E_F) in states/eV/f.u.: 0.5
VASP energy in eV per atom: -5.072

abc: 4.295 8.425 9.539
angles: 105.55 90.00 90.00
Site moments in Bohr magnetons follow the coordinates.
Fractional positions:
1 Li 0.250 0.095 0.595  0.00
2 Li 0.750 0.905 0.405  0.00
3 Pr 0.250 0.204 0.246  0.10
4 Pr 0.750 0.796 0.754  0.10
5 Mn 0.250 0.675 0.164  4.22
6 Mn 0.750 0.325 0.836  4.22
7 Te 0.750 0.905 0.122  0.05
8 Te 0.250 0.095 0.878  0.05
9 Te 0.250 0.748 0.485  0.03
10 Te 0.750 0.252 0.515  0.03
11 Te 0.750 0.437 0.146  0.06
12 Te 0.250 0.563 0.854  0.06

# NbV2GaCu

Crystalline NbV2GaCu at its relaxed geometry (PBE-GGA, Alexandria).

## Properties
Energy of formation in kJ per mole of atoms: 94.5
N(E_F) in states/eV/f.u.: 4.1
VASP energy in eV per atom: -6.107

abc: 4.535 4.199 4.535
angles: 90.00 90.00 90.00
Site moments in Bohr magnetons follow the coordinates.
Fractional positions:
1 Nb 0.500 0.500 0.500  -0.24
2 Cu 0.000 0.500 0.000  0.01
3 Ga 0.000 0.000 0.000  0.01
4 V 0.000 0.000 0.500  0.71
5 V 0.500 0.000 0.000  0.57

# Ta4Ru3W

Crystalline Ta4Ru3W at its relaxed geometry (PBE-GGA, Alexandria).

## Properties
Energy of formation in kJ per mole of atoms: -29.9
N(E_F) in states/eV/f.u.: 6.0
VASP energy in eV per atom: -11.334

abc: 4.522 4.522 7.115
angles: 108.52 108.53 90.00
Fractional positions:
1 Ru 0.000 0.500 0.000
2 Ru 0.754 0.254 0.508
3 Ru 0.246 0.746 0.492
4 W 0.500 0.000 0.000
5 Ta 0.376 0.376 0.751
6 Ta 0.624 0.624 0.249
7 Ta 0.124 0.124 0.249
8 Ta 0.876 0.876 0.751

# TbYTm6

Crystalline TbYTm6 at its relaxed geometry (PBE-GGA, Alexandria).

## Properties
ΔE to the lowest computed polymorph in meV/atom: 14
Energy of formation in kJ per mole of atoms: 22.1
N(E_F) in states/eV/f.u.: 15.0
VASP energy in eV per atom: -4.512

abc: 6.688 6.688 9.164
angles: 109.70 109.70 121.95
Fractional positions:
1 Tb 0.500 0.500 0.500
2 Y 0.000 0.000 0.000
3 Tm 0.258 0.258 0.750
4 Tm 0.673 0.192 0.252
5 Tm 0.742 0.742 0.250
6 Tm 0.808 0.327 0.748
7 Tm 0.327 0.808 0.748
8 Tm 0.192 0.673 0.252

# SrZr3Cd

Crystalline SrZr3Cd at its relaxed geometry (PBE-GGA, Alexandria).

## Properties
ΔE to the lowest computed polymorph in meV/atom: 798
Energy of formation in kJ per mole of atoms: 166.5
N(E_F) in states/eV/f.u.: 12.0
VASP energy in eV per atom: -3.922

abc: 5.195 5.195 5.195
angles: 90.00 90.00 90.00
Fractional positions:
1 Sr 0.000 0.000 0.000
2 Zr 0.000 0.500 0.000
3 Zr 0.000 0.000 0.500
4 Zr 0.500 0.000 0.000
5 Cd 0.500 0.500 0.500